Compound: SrLa2Cr
Source: Alexandria
Functional: PBE
Structure: optimized geometry

SG = I-42d (122)
ΔE_f = 621 meV/atom
magnetization = 0.0 μB per formula unit
ΔE to the lowest computed polymorph = 328 meV per atom

Lattice parameters (Å, degrees): 7.653 7.653 7.653 118.91 118.91 91.89
Positions (direct):
Sr 0.000 0.000 0.000
Sr 0.750 0.250 0.500
La 0.315 0.125 0.690
La 0.375 0.685 0.810
La 0.435 0.625 0.310
La 0.875 0.565 0.190
Cr 0.250 0.750 0.500
Cr 0.500 0.500 0.000


Compound: SrLa2Cr
Source: Alexandria
Functional: PBE
Structure: optimized geometry

SG = Fm-3m (225)
ΔE_f = 473 meV/atom
magnetization = 3.4 μB per formula unit
ΔE to the lowest computed polymorph = 180 meV per atom

Lattice parameters (Å, degrees): 5.726 5.726 5.726 60.00 60.00 60.00
Positions (direct):
Sr 0.000 0.000 0.000
La 0.250 0.250 0.250
La 0.750 0.750 0.750
Cr 0.500 0.500 0.500


Compound: SrLaCr
Source: Alexandria
Functional: PBE
Structure: optimized geometry

SG = F-43m (216)
ΔE_f = 705 meV/atom
magnetization = 4.1 μB per formula unit
ΔE to the lowest computed polymorph = 268 meV per atom

Lattice parameters (Å, degrees): 5.407 5.407 5.407 60.00 60.00 60.00
Positions (direct):
Sr 0.000 0.000 0.000
La 0.500 0.500 0.500
Cr 0.250 0.250 0.250


Compound: SrLa2Cr
Source: Alexandria
Functional: PBE
Structure: optimized geometry

SG = C2/m (12)
ΔE_f = 541 meV/atom
magnetization = 4.6 μB per formula unit
ΔE to the lowest computed polymorph = 249 meV per atom

Lattice parameters (Å, degrees): 6.972 6.972 3.643 102.07 102.07 120.94
Positions (direct):
Sr 0.000 0.000 0.000
La 0.000 0.500 0.500
La 0.500 0.000 0.500
Cr 0.500 0.500 0.000


Compound: SrLa2Cr
Source: Alexandria
Functional: PBE
Structure: optimized geometry

SG = P2/m (10)
ΔE_f = 293 meV/atom
magnetization = 2.9 μB per formula unit
ΔE to the lowest computed polymorph = 0 meV per atom

Lattice parameters (Å, degrees): 3.832 3.836 9.765 90.00 90.09 90.00
Positions (direct):
Sr 0.000 0.000 0.000
La 0.500 0.500 0.322
La 0.500 0.500 0.678
Cr 0.000 0.000 0.500


Compound: SrLa2Cr
Source: Alexandria
Functional: PBE
Structure: optimized geometry

SG = Cm (8)
ΔE_f = 401 meV/atom
magnetization = 3.1 μB per formula unit
ΔE to the lowest computed polymorph = 108 meV per atom

Lattice parameters (Å, degrees): 6.952 6.952 5.774 114.53 114.53 33.15
Positions (direct):
Sr 0.000 0.000 0.000
La 0.588 0.588 0.588
La 0.791 0.791 0.292
Cr 0.279 0.279 0.780


Compound: SrLa2Cr
Source: Alexandria
Functional: PBE
Structure: optimized geometry

SG = P4mm (99)
ΔE_f = 362 meV/atom
magnetization = 3.7 μB per formula unit
ΔE to the lowest computed polymorph = 69 meV per atom

Lattice parameters (Å, degrees): 3.839 3.839 9.431 90.00 90.00 90.00
Positions (direct):
Sr 0.000 0.000 0.000
La 0.000 0.000 0.403
La 0.500 0.500 0.669
Cr 0.500 0.500 0.231


Compound: SrLaCr3
Source: Alexandria
Functional: PBE
Structure: optimized geometry

SG = Pm-3m (221)
ΔE_f = 1701 meV/atom
magnetization = 11.0 μB per formula unit
ΔE to the lowest computed polymorph = 287 meV per atom

Lattice parameters (Å, degrees): 5.190 5.190 5.190 90.00 90.00 90.00
Positions (direct):
Sr 0.000 0.000 0.000
La 0.500 0.500 0.500
Cr 0.000 0.000 0.500
Cr 0.000 0.500 0.000
Cr 0.500 0.000 0.000


Compound: SrLa2Cr
Source: Alexandria
Functional: PBE
Structure: optimized geometry

SG = Immm (71)
ΔE_f = 340 meV/atom
magnetization = 3.6 μB per formula unit
ΔE to the lowest computed polymorph = 48 meV per atom

Lattice parameters (Å, degrees): 6.993 6.993 6.993 148.09 130.12 60.45
Positions (direct):
Sr 0.000 0.000 0.000
La 0.293 0.793 0.500
La 0.707 0.207 0.500
Cr 0.500 0.500 0.000


Compound: SrLa2Cr
Source: Alexandria
Functional: PBE
Structure: optimized geometry

SG = I-4m2 (119)
ΔE_f = 497 meV/atom
magnetization = 3.1 μB per formula unit
ΔE to the lowest computed polymorph = 204 meV per atom

Lattice parameters (Å, degrees): 5.922 5.922 5.922 125.08 125.08 81.41
Positions (direct):
Sr 0.000 0.000 0.000
La 0.250 0.750 0.500
La 0.500 0.500 0.000
Cr 0.750 0.250 0.500


Compound: SrLa2Cr
Source: Alexandria
Functional: PBE
Structure: optimized geometry

SG = C2/m (12)
ΔE_f = 478 meV/atom
magnetization = 2.0 μB per formula unit
ΔE to the lowest computed polymorph = 185 meV per atom

Lattice parameters (Å, degrees): 5.050 5.050 6.972 110.93 110.93 59.45
Positions (direct):
Sr 0.000 0.000 0.000
La 0.216 0.216 0.653
La 0.784 0.784 0.347
Cr 0.500 0.500 0.500


Compound: Sr3LaCr
Source: Alexandria
Functional: PBE
Structure: optimized geometry

SG = Pm-3m (221)
ΔE_f = 1222 meV/atom
magnetization = 3.0 μB per formula unit
ΔE to the lowest computed polymorph = 595 meV per atom

Lattice parameters (Å, degrees): 6.258 6.258 6.258 90.00 90.00 90.00
Positions (direct):
Sr 0.000 0.000 0.500
Sr 0.000 0.500 0.000
Sr 0.500 0.000 0.000
La 0.000 0.000 0.000
Cr 0.500 0.500 0.500


Compound: SrLa2Cr
Source: Alexandria
Functional: PBE
Structure: optimized geometry

SG = R-3m (166)
ΔE_f = 426 meV/atom
magnetization = 3.1 μB per formula unit
ΔE to the lowest computed polymorph = 133 meV per atom

Lattice parameters (Å, degrees): 11.385 11.385 11.385 19.66 19.66 19.66
Positions (direct):
Sr 0.000 0.000 0.000
La 0.229 0.229 0.229
La 0.771 0.771 0.771
Cr 0.500 0.500 0.500


Compound: SrLa3Cr
Source: Alexandria
Functional: PBE
Structure: optimized geometry

SG = Pm-3m (221)
ΔE_f = 301 meV/atom
magnetization = 1.1 μB per formula unit
ΔE to the lowest computed polymorph = 0 meV per atom

Lattice parameters (Å, degrees): 5.659 5.659 5.659 90.00 90.00 90.00
Positions (direct):
Sr 0.000 0.000 0.000
La 0.000 0.500 0.500
La 0.500 0.000 0.500
La 0.500 0.500 0.000
Cr 0.500 0.500 0.500


Compound: SrLa2Cr
Source: Alexandria
Functional: PBE
Structure: optimized geometry

SG = P4/mmm (123)
ΔE_f = 492 meV/atom
magnetization = 3.4 μB per formula unit
ΔE to the lowest computed polymorph = 199 meV per atom

Lattice parameters (Å, degrees): 5.175 5.175 5.048 90.00 90.00 90.00
Positions (direct):
Sr 0.000 0.000 0.000
La 0.000 0.500 0.500
La 0.500 0.000 0.500
Cr 0.500 0.500 0.000


Compound: SrLaCr3
Source: Alexandria
Functional: PBE
Structure: optimized geometry

SG = Pm-3m (221)
ΔE_f = 1415 meV/atom
magnetization = 11.0 μB per formula unit
ΔE to the lowest computed polymorph = 0 meV per atom

Lattice parameters (Å, degrees): 5.281 5.281 5.281 90.00 90.00 90.00
Positions (direct):
Sr 0.000 0.000 0.000
La 0.500 0.500 0.500
Cr 0.000 0.500 0.500
Cr 0.500 0.000 0.500
Cr 0.500 0.500 0.000


Compound: SrLaCr
Source: Alexandria
Functional: PBE
Structure: optimized geometry

SG = I4mm (107)
ΔE_f = 438 meV/atom
magnetization = 3.3 μB per formula unit
ΔE to the lowest computed polymorph = 0 meV per atom

Lattice parameters (Å, degrees): 7.285 7.285 7.285 149.21 149.21 44.10
Positions (direct):
Sr 0.000 0.000 0.000
La 0.726 0.726 0.000
Cr 0.344 0.344 0.000


Compound: Sr3LaCr
Source: Alexandria
Functional: PBE
Structure: optimized geometry

SG = Pm-3m (221)
ΔE_f = 627 meV/atom
magnetization = 2.8 μB per formula unit
ΔE to the lowest computed polymorph = 0 meV per atom

Lattice parameters (Å, degrees): 6.130 6.130 6.130 90.00 90.00 90.00
Positions (direct):
Sr 0.000 0.000 0.500
Sr 0.000 0.500 0.000
Sr 0.500 0.000 0.000
La 0.500 0.500 0.500
Cr 0.000 0.000 0.000


Compound: SrLa2ZnCr
Source: Alexandria
Functional: PBE
Structure: optimized geometry

SG = P4/mmm (123)
ΔE_f = 596 meV/atom
magnetization = 4.2 μB per formula unit

Lattice parameters (Å, degrees): 5.721 5.721 5.954 90.00 90.00 90.00
Positions (direct):
Sr 0.000 0.000 0.000
La 0.000 0.500 0.500
La 0.500 0.000 0.500
Zn 0.000 0.000 0.500
Cr 0.500 0.500 0.000


Compound: LaTa2Cr
Source: Alexandria
Functional: PBE
Structure: optimized geometry

SG = Cmm2 (35)
ΔE_f = 464 meV/atom
magnetization = 0.0 μB per formula unit
ΔE to the lowest computed polymorph = 165 meV per atom

Lattice parameters (Å, degrees): 2.967 2.967 9.601 90.00 90.00 113.54
Positions (direct):
La 0.000 0.000 0.000
Ta 0.000 0.000 0.548
Ta 0.500 0.500 0.308
Cr 0.500 0.500 0.746